(1)
12
Lattice="6.546 -0.148 -0.004 -0.129 6.297 -0.007 0.005 0.010 8.362" Properties=species:S:1:pos:R:3 comment="PBE Na2RePbCl8, relaxed" space_group="P2/m, No. 10" m_tot_mub_per_cell=3.000 dft_energy_ev_per_atom=-3.905 e_form_raw_ev_per_atom=-1.11 mass_density_g_cm3=3.5 pbc="T T T"
Cl 2.183 1.714 4.177
Cl 0.873 4.956 6.663
Cl 4.239 4.445 4.174
Cl 5.552 1.209 6.664
Cl 5.549 1.203 1.688
Cl 4.513 4.733 8.354
Cl 1.908 1.426 -0.003
Cl 0.870 4.950 1.687
Na 3.212 3.082 6.275
Na 3.210 3.077 2.076
Pb 0.002 0.005 4.181
Re 0.000 0.000 0.000

---

(2)
5
Lattice="4.810 0.000 0.000 0.000 5.326 0.000 0.000 0.000 4.810" Properties=species:S:1:pos:R:3 comment="PBE Cu2SnTeW, relaxed" space_group="P4/mmm, No. 123" m_tot_mub_per_cell=0.000 dft_energy_ev_per_atom=-4.444 e_form_raw_ev_per_atom=1.21 mass_density_g_cm3=7.5 pbc="T T T"
Cu 0.000 0.000 2.405
Cu 2.405 0.000 0.000
Te 2.405 2.663 2.405
Sn 0.000 2.663 0.000
W 0.000 0.000 0.000

---

- What is the formula in the first record?
  Na2RePbCl8

---

What did the second record say?
5
Lattice="4.810 0.000 0.000 0.000 5.326 0.000 0.000 0.000 4.810" Properties=species:S:1:pos:R:3 comment="PBE Cu2SnTeW, relaxed" space_group="P4/mmm, No. 123" m_tot_mub_per_cell=0.000 dft_energy_ev_per_atom=-4.444 e_form_raw_ev_per_atom=1.21 mass_density_g_cm3=7.5 pbc="T T T"
Cu 0.000 0.000 2.405
Cu 2.405 0.000 0.000
Te 2.405 2.663 2.405
Sn 0.000 2.663 0.000
W 0.000 0.000 0.000